A:
TbHoNO: optimized geometry, PBE.

Geometry as CIF:
```
data_TbHoNO
_chemical_formula_sum 'Tb2 Ho2 N2 O2'
_cell_length_a 4.2635
_cell_length_b 4.2635
_cell_length_c 7.7671
_cell_angle_alpha 90.00
_cell_angle_beta 90.00
_cell_angle_gamma 90.00
_symmetry_space_group_name_H-M 'P 1'
_symmetry_Int_Tables_number 1
loop_
_symmetry_equiv_pos_as_xyz
'x,y,z'
loop_
_atom_site_label
_atom_site_fract_x
_atom_site_fract_y
_atom_site_fract_z
Tb1 0.2500 0.7500 0.0000
Tb2 0.7500 0.2500 0.0000
Ho1 0.2500 0.2500 0.4002
Ho2 0.7500 0.7500 0.5998
N1 0.2500 0.2500 0.8724
N2 0.7500 0.7500 0.1276
O1 0.2500 0.7500 0.5000
O2 0.7500 0.2500 0.5000
```

Properties
Theoretical density in Mg/m³: 8.3

=====

B:
TbHoNO: optimized geometry, PBE.

Geometry as CIF:
```
data_TbHoNO
_chemical_formula_sum 'Tb2 Ho2 N2 O2'
_cell_length_a 4.8578
_cell_length_b 3.9689
_cell_length_c 6.8711
_cell_angle_alpha 90.00
_cell_angle_beta 90.00
_cell_angle_gamma 90.00
_symmetry_space_group_name_H-M 'P 1'
_symmetry_Int_Tables_number 1
loop_
_symmetry_equiv_pos_as_xyz
'x,y,z'
loop_
_atom_site_label
_atom_site_fract_x
_atom_site_fract_y
_atom_site_fract_z
Tb1 0.2500 0.0000 0.1647
Tb2 0.7500 0.0000 0.8353
Ho1 0.2500 0.5000 0.6673
Ho2 0.7500 0.5000 0.3327
N1 0.2500 0.5000 0.3383
N2 0.7500 0.5000 0.6617
O1 0.2500 0.0000 0.8203
O2 0.7500 0.0000 0.1797
```

Properties
Theoretical density in Mg/m³: 8.9

=====

C:
TbHoNO: optimized geometry, PBE.

Geometry as CIF:
```
data_TbHoNO
_chemical_formula_sum 'Tb4 Ho4 N4 O4'
_cell_length_a 8.0644
_cell_length_b 6.5802
_cell_length_c 4.9345
_cell_angle_alpha 90.00
_cell_angle_beta 90.00
_cell_angle_gamma 90.00
_symmetry_space_group_name_H-M 'P 1'
_symmetry_Int_Tables_number 1
loop_
_symmetry_equiv_pos_as_xyz
'x,y,z'
loop_
_atom_site_label
_atom_site_fract_x
_atom_site_fract_y
_atom_site_fract_z
Tb1 0.1279 0.0818 0.2500
Tb2 0.1279 0.4182 0.7500
Tb3 0.8721 0.5818 0.2500
Tb4 0.8721 0.9182 0.7500
Ho1 0.3784 0.5699 0.2500
Ho2 0.3784 0.9301 0.7500
Ho3 0.6216 0.0699 0.2500
Ho4 0.6216 0.4301 0.7500
N1 0.1276 0.0673 0.7500
N2 0.1276 0.4327 0.2500
N3 0.8724 0.5673 0.7500
N4 0.8724 0.9327 0.2500
O1 0.3719 0.5948 0.7500
O2 0.3719 0.9052 0.2500
O3 0.6281 0.0948 0.7500
O4 0.6281 0.4052 0.2500
```

Properties
Theoretical density in Mg/m³: 9.0

=====

It is A that is the least stable of them.

=====

A:
HoTcNO: optimized geometry, PBE.

Geometry as CIF:
```
data_HoTcNO
_chemical_formula_sum 'Ho1 Tc1 N1 O1'
_cell_length_a 3.3680
_cell_length_b 3.3680
_cell_length_c 4.3663
_cell_angle_alpha 90.00
_cell_angle_beta 90.00
_cell_angle_gamma 90.00
_symmetry_space_group_name_H-M 'P 1'
_symmetry_Int_Tables_number 1
loop_
_symmetry_equiv_pos_as_xyz
'x,y,z'
loop_
_atom_site_label
_atom_site_fract_x
_atom_site_fract_y
_atom_site_fract_z
Ho1 0.0000 0.0000 0.0000
Tc1 0.5000 0.5000 0.5000
N1 0.5000 0.5000 0.0000
O1 0.0000 0.0000 0.5000
```

Properties
Theoretical density in Mg/m³: 9.8

=====

B:
HoTcNO: optimized geometry, PBE.

Geometry as CIF:
```
data_HoTcNO
_chemical_formula_sum 'Ho4 Tc4 N4 O4'
_cell_length_a 6.0270
_cell_length_b 7.5210
_cell_length_c 4.8476
_cell_angle_alpha 90.00
_cell_angle_beta 90.00
_cell_angle_gamma 90.00
_symmetry_space_group_name_H-M 'P 1'
_symmetry_Int_Tables_number 1
loop_
_symmetry_equiv_pos_as_xyz
'x,y,z'
loop_
_atom_site_label
_atom_site_fract_x
_atom_site_fract_y
_atom_site_fract_z
Ho1 0.0592 0.1515 0.0000
Ho2 0.4408 0.1515 0.5000
Ho3 0.5592 0.8485 0.0000
Ho4 0.9408 0.8485 0.5000
Tc1 0.1396 0.6626 0.9925
Tc2 0.3604 0.6626 0.4925
Tc3 0.6396 0.3374 0.9925
Tc4 0.8604 0.3374 0.4925
N1 0.0621 0.1400 0.4995
N2 0.4379 0.1400 0.9995
N3 0.5621 0.8600 0.4995
N4 0.9379 0.8600 0.9995
O1 0.0322 0.5636 0.6080
O2 0.4678 0.5636 0.1080
O3 0.5322 0.4364 0.6080
O4 0.9678 0.4364 0.1080
```

Properties
Theoretical density in Mg/m³: 8.9

=====

It is A that is the least stable of them.

=====

A:
HoTcNO: optimized geometry, PBE.

Geometry as CIF:
```
data_HoTcNO
_chemical_formula_sum 'Ho2 Tc2 N2 O2'
_cell_length_a 3.2667
_cell_length_b 5.6480
_cell_length_c 5.7006
_cell_angle_alpha 90.00
_cell_angle_beta 90.00
_cell_angle_gamma 90.00
_symmetry_space_group_name_H-M 'P 1'
_symmetry_Int_Tables_number 1
loop_
_symmetry_equiv_pos_as_xyz
'x,y,z'
loop_
_atom_site_label
_atom_site_fract_x
_atom_site_fract_y
_atom_site_fract_z
Ho1 0.0000 0.2249 0.0000
Ho2 0.0000 0.7751 0.5000
Tc1 0.5000 0.2302 0.5226
Tc2 0.5000 0.7698 0.0226
N1 0.5000 0.0278 0.2611
N2 0.5000 0.9722 0.7611
O1 0.0000 0.4417 0.6873
O2 0.0000 0.5583 0.1873
```

Properties
Theoretical density in Mg/m³: 9.2

=====

B:
HoTcNO: optimized geometry, PBE.

Geometry as CIF:
```
data_HoTcNO
_chemical_formula_sum 'Ho2 Tc2 N2 O2'
_cell_length_a 3.5342
_cell_length_b 6.1843
_cell_length_c 5.1446
_cell_angle_alpha 90.00
_cell_angle_beta 90.00
_cell_angle_gamma 90.00
_symmetry_space_group_name_H-M 'P 1'
_symmetry_Int_Tables_number 1
loop_
_symmetry_equiv_pos_as_xyz
'x,y,z'
loop_
_atom_site_label
_atom_site_fract_x
_atom_site_fract_y
_atom_site_fract_z
Ho1 0.0000 0.2282 0.0000
Ho2 0.0000 0.7718 0.5000
Tc1 0.5000 0.2572 0.5140
Tc2 0.5000 0.7428 0.0140
N1 0.0000 0.1395 0.4918
N2 0.0000 0.8605 0.9918
O1 0.5000 0.4248 0.8757
O2 0.5000 0.5752 0.3757
```

Properties
Theoretical density in Mg/m³: 8.7

=====

It is A that is the least stable of them.

=====

A:
HoTcNO: optimized geometry, PBE.

Geometry as CIF:
```
data_HoTcNO
_chemical_formula_sum 'Ho2 Tc2 N2 O2'
_cell_length_a 3.7501
_cell_length_b 3.7501
_cell_length_c 7.6662
_cell_angle_alpha 90.00
_cell_angle_beta 90.00
_cell_angle_gamma 90.00
_symmetry_space_group_name_H-M 'P 1'
_symmetry_Int_Tables_number 1
loop_
_symmetry_equiv_pos_as_xyz
'x,y,z'
loop_
_atom_site_label
_atom_site_fract_x
_atom_site_fract_y
_atom_site_fract_z
Ho1 0.2500 0.2500 0.1477
Ho2 0.7500 0.7500 0.8523
Tc1 0.2500 0.7500 0.5000
Tc2 0.7500 0.2500 0.5000
N1 0.2500 0.2500 0.6298
N2 0.7500 0.7500 0.3702
O1 0.2500 0.7500 0.0000
O2 0.7500 0.2500 0.0000
```

Properties
Theoretical density in Mg/m³: 9.0

=====

B:
HoTcNO: optimized geometry, PBE.

Geometry as CIF:
```
data_HoTcNO
_chemical_formula_sum 'Ho4 Tc4 N4 O4'
_cell_length_a 5.4981
_cell_length_b 7.7329
_cell_length_c 5.1685
_cell_angle_alpha 90.00
_cell_angle_beta 90.00
_cell_angle_gamma 90.00
_symmetry_space_group_name_H-M 'P 1'
_symmetry_Int_Tables_number 1
loop_
_symmetry_equiv_pos_as_xyz
'x,y,z'
loop_
_atom_site_label
_atom_site_fract_x
_atom_site_fract_y
_atom_site_fract_z
Ho1 0.0168 0.1433 0.0000
Ho2 0.4832 0.1433 0.5000
Ho3 0.5168 0.8567 0.0000
Ho4 0.9832 0.8567 0.5000
Tc1 0.1248 0.4834 0.6916
Tc2 0.3752 0.4834 0.1916
Tc3 0.6248 0.5166 0.6916
Tc4 0.8752 0.5166 0.1916
N1 0.0952 0.3501 0.3649
N2 0.4048 0.3501 0.8649
N3 0.5952 0.6499 0.3649
N4 0.9048 0.6499 0.8649
O1 0.2494 0.9843 0.2461
O2 0.2506 0.9843 0.7461
O3 0.7494 0.0157 0.2461
O4 0.7506 0.0157 0.7461
```

Properties
Theoretical density in Mg/m³: 8.9

=====

It is A that is the least stable of them.

=====

A:
HoTeNO: optimized geometry, PBE.

Geometry as CIF:
```
data_HoTeNO
_chemical_formula_sum 'Ho4 Te4 N4 O4'
_cell_length_a 5.5207
_cell_length_b 9.2051
_cell_length_c 5.6354
_cell_angle_alpha 90.00
_cell_angle_beta 90.00
_cell_angle_gamma 90.00
_symmetry_space_group_name_H-M 'P 1'
_symmetry_Int_Tables_number 1
loop_
_symmetry_equiv_pos_as_xyz
'x,y,z'
loop_
_atom_site_label
_atom_site_fract_x
_atom_site_fract_y
_atom_site_fract_z
Ho1 0.0339 0.1121 0.0000
Ho2 0.4661 0.1121 0.5000
Ho3 0.5339 0.8879 0.0000
Ho4 0.9661 0.8879 0.5000
Te1 0.0355 0.3834 0.4784
Te2 0.4645 0.3834 0.9784
Te3 0.5355 0.6166 0.4784
Te4 0.9645 0.6166 0.9784
N1 0.2342 0.2832 0.7388
N2 0.2658 0.2832 0.2388
N3 0.7342 0.7168 0.7388
N4 0.7658 0.7168 0.2388
O1 0.2495 0.9727 0.2505
O2 0.2505 0.9727 0.7505
O3 0.7495 0.0273 0.2505
O4 0.7505 0.0273 0.7505
```

Properties
Theoretical density in Mg/m³: 7.5

=====

B:
HoTeNO: optimized geometry, PBE.

Geometry as CIF:
```
data_HoTeNO
_chemical_formula_sum 'Ho4 Te4 N4 O4'
_cell_length_a 6.2985
_cell_length_b 7.0742
_cell_length_c 6.3828
_cell_angle_alpha 90.00
_cell_angle_beta 90.00
_cell_angle_gamma 90.00
_symmetry_space_group_name_H-M 'P 1'
_symmetry_Int_Tables_number 1
loop_
_symmetry_equiv_pos_as_xyz
'x,y,z'
loop_
_atom_site_label
_atom_site_fract_x
_atom_site_fract_y
_atom_site_fract_z
Ho1 0.1007 0.1827 0.0000
Ho2 0.3993 0.1827 0.5000
Ho3 0.6007 0.8173 0.0000
Ho4 0.8993 0.8173 0.5000
Te1 0.0918 0.7265 0.9491
Te2 0.4082 0.7265 0.4491
Te3 0.5918 0.2735 0.9491
Te4 0.9082 0.2735 0.4491
N1 0.0741 0.1004 0.6507
N2 0.4259 0.1004 0.1507
N3 0.5741 0.8996 0.6507
N4 0.9259 0.8996 0.1507
O1 0.0796 0.4775 0.0701
O2 0.4204 0.4775 0.5701
O3 0.5796 0.5225 0.0701
O4 0.9204 0.5225 0.5701
```

Properties
Theoretical density in Mg/m³: 7.5

=====

C:
HoTeNO: optimized geometry, PBE.

Geometry as CIF:
```
data_HoTeNO
_chemical_formula_sum 'Ho2 Te2 N2 O2'
_cell_length_a 3.6317
_cell_length_b 6.7406
_cell_length_c 6.5470
_cell_angle_alpha 90.00
_cell_angle_beta 90.00
_cell_angle_gamma 90.00
_symmetry_space_group_name_H-M 'P 1'
_symmetry_Int_Tables_number 1
loop_
_symmetry_equiv_pos_as_xyz
'x,y,z'
loop_
_atom_site_label
_atom_site_fract_x
_atom_site_fract_y
_atom_site_fract_z
Ho1 0.0000 0.1812 0.0000
Ho2 0.0000 0.8188 0.5000
Te1 0.5000 0.2228 0.5014
Te2 0.5000 0.7772 0.0014
N1 0.0000 0.1279 0.3452
N2 0.0000 0.8721 0.8452
O1 0.5000 0.3013 0.8824
O2 0.5000 0.6987 0.3824
```

Properties
Theoretical density in Mg/m³: 6.7

=====

D:
HoTeNO: optimized geometry, PBE.

Geometry as CIF:
```
data_HoTeNO
_chemical_formula_sum 'Ho2 Te2 N2 O2'
_cell_length_a 4.1218
_cell_length_b 5.8965
_cell_length_c 6.4772
_cell_angle_alpha 90.00
_cell_angle_beta 90.00
_cell_angle_gamma 90.00
_symmetry_space_group_name_H-M 'P 1'
_symmetry_Int_Tables_number 1
loop_
_symmetry_equiv_pos_as_xyz
'x,y,z'
loop_
_atom_site_label
_atom_site_fract_x
_atom_site_fract_y
_atom_site_fract_z
Ho1 0.0000 0.2010 0.0000
Ho2 0.0000 0.7990 0.5000
Te1 0.5000 0.3296 0.4029
Te2 0.5000 0.6704 0.9029
N1 0.5000 0.3713 0.0575
N2 0.5000 0.6287 0.5575
O1 0.0000 0.0752 0.7008
O2 0.0000 0.9248 0.2008
```

Properties
Theoretical density in Mg/m³: 6.8

=====

It is C that is the least stable of them.

=====

A:
HoTeNO: optimized geometry, PBE.

Geometry as CIF:
```
data_HoTeNO
_chemical_formula_sum 'Ho2 Te2 N2 O2'
_cell_length_a 4.5033
_cell_length_b 4.5033
_cell_length_c 7.0017
_cell_angle_alpha 90.00
_cell_angle_beta 90.00
_cell_angle_gamma 90.00
_symmetry_space_group_name_H-M 'P 1'
_symmetry_Int_Tables_number 1
loop_
_symmetry_equiv_pos_as_xyz
'x,y,z'
loop_
_atom_site_label
_atom_site_fract_x
_atom_site_fract_y
_atom_site_fract_z
Ho1 0.2500 0.2500 0.1170
Ho2 0.7500 0.7500 0.8830
Te1 0.2500 0.7500 0.5000
Te2 0.7500 0.2500 0.5000
N1 0.2500 0.2500 0.4445
N2 0.7500 0.7500 0.5555
O1 0.2500 0.7500 0.0000
O2 0.7500 0.2500 0.0000
```

Properties
Theoretical density in Mg/m³: 7.5

=====

B:
HoTeNO: optimized geometry, PBE.

Geometry as CIF:
```
data_HoTeNO
_chemical_formula_sum 'Ho2 Te2 N2 O2'
_cell_length_a 5.0486
_cell_length_b 5.0486
_cell_length_c 4.7875
_cell_angle_alpha 90.00
_cell_angle_beta 90.00
_cell_angle_gamma 90.00
_symmetry_space_group_name_H-M 'P 1'
_symmetry_Int_Tables_number 1
loop_
_symmetry_equiv_pos_as_xyz
'x,y,z'
loop_
_atom_site_label
_atom_site_fract_x
_atom_site_fract_y
_atom_site_fract_z
Ho1 0.2500 0.7500 0.0000
Ho2 0.7500 0.2500 0.0000
Te1 0.2500 0.2500 0.4829
Te2 0.7500 0.7500 0.5171
N1 0.2500 0.2500 0.9154
N2 0.7500 0.7500 0.0846
O1 0.2500 0.7500 0.5000
O2 0.7500 0.2500 0.5000
```

Properties
Theoretical density in Mg/m³: 8.8

=====

It is B that is the least stable of them.

=====

A:
HoTmNO: optimized geometry, PBE.

Geometry as CIF:
```
data_HoTmNO
_chemical_formula_sum 'Ho2 Tm2 N2 O2'
_cell_length_a 4.3387
_cell_length_b 4.3387
_cell_length_c 7.7878
_cell_angle_alpha 90.00
_cell_angle_beta 90.00
_cell_angle_gamma 90.00
_symmetry_space_group_name_H-M 'P 1'
_symmetry_Int_Tables_number 1
loop_
_symmetry_equiv_pos_as_xyz
'x,y,z'
loop_
_atom_site_label
_atom_site_fract_x
_atom_site_fract_y
_atom_site_fract_z
Ho1 0.2500 0.2500 0.0944
Ho2 0.7500 0.7500 0.9056
Tm1 0.2500 0.7500 0.5000
Tm2 0.7500 0.2500 0.5000
N1 0.2500 0.2500 0.5777
N2 0.7500 0.7500 0.4223
O1 0.2500 0.7500 0.0000
O2 0.7500 0.2500 0.0000
```

Properties
Theoretical density in Mg/m³: 8.2

=====

B:
HoTmNO: optimized geometry, PBE.

Geometry as CIF:
```
data_HoTmNO
_chemical_formula_sum 'Ho2 Tm2 N2 O2'
_cell_length_a 4.7888
_cell_length_b 3.9178
_cell_length_c 6.8016
_cell_angle_alpha 90.00
_cell_angle_beta 90.00
_cell_angle_gamma 90.00
_symmetry_space_group_name_H-M 'P 1'
_symmetry_Int_Tables_number 1
loop_
_symmetry_equiv_pos_as_xyz
'x,y,z'
loop_
_atom_site_label
_atom_site_fract_x
_atom_site_fract_y
_atom_site_fract_z
Ho1 0.2500 0.0000 0.1642
Ho2 0.7500 0.0000 0.8358
Tm1 0.2500 0.5000 0.6673
Tm2 0.7500 0.5000 0.3327
N1 0.2500 0.5000 0.3384
N2 0.7500 0.5000 0.6616
O1 0.2500 0.0000 0.8202
O2 0.7500 0.0000 0.1798
```

Properties
Theoretical density in Mg/m³: 9.5

=====

It is A that is the least stable of them.

=====

A:
HoTmNO: optimized geometry, PBE.

Geometry as CIF:
```
data_HoTmNO
_chemical_formula_sum 'Ho1 Tm1 N1 O1'
_cell_length_a 3.3757
_cell_length_b 3.3757
_cell_length_c 4.7510
_cell_angle_alpha 90.00
_cell_angle_beta 90.00
_cell_angle_gamma 90.00
_symmetry_space_group_name_H-M 'P 1'
_symmetry_Int_Tables_number 1
loop_
_symmetry_equiv_pos_as_xyz
'x,y,z'
loop_
_atom_site_label
_atom_site_fract_x
_atom_site_fract_y
_atom_site_fract_z
Ho1 0.0000 0.0000 0.0000
Tm1 0.5000 0.5000 0.5000
N1 0.5000 0.5000 0.0000
O1 0.0000 0.0000 0.5000
```

Properties
Theoretical density in Mg/m³: 11.2

=====

B:
HoTmNO: optimized geometry, PBE.

Geometry as CIF:
```
data_HoTmNO
_chemical_formula_sum 'Ho2 Tm2 N2 O2'
_cell_length_a 4.7989
_cell_length_b 3.9315
_cell_length_c 6.7770
_cell_angle_alpha 90.00
_cell_angle_beta 90.00
_cell_angle_gamma 90.00
_symmetry_space_group_name_H-M 'P 1'
_symmetry_Int_Tables_number 1
loop_
_symmetry_equiv_pos_as_xyz
'x,y,z'
loop_
_atom_site_label
_atom_site_fract_x
_atom_site_fract_y
_atom_site_fract_z
Ho1 0.2500 0.0000 0.1669
Ho2 0.7500 0.0000 0.8331
Tm1 0.2500 0.5000 0.6674
Tm2 0.7500 0.5000 0.3326
N1 0.2500 0.0000 0.8325
N2 0.7500 0.0000 0.1675
O1 0.2500 0.5000 0.3333
O2 0.7500 0.5000 0.6667
```

Properties
Theoretical density in Mg/m³: 9.5

=====

C:
HoTmNO: optimized geometry, PBE.

Geometry as CIF:
```
data_HoTmNO
_chemical_formula_sum 'Ho4 Tm4 N4 O4'
_cell_length_a 8.0453
_cell_length_b 6.5820
_cell_length_c 4.8149
_cell_angle_alpha 90.00
_cell_angle_beta 90.00
_cell_angle_gamma 90.00
_symmetry_space_group_name_H-M 'P 1'
_symmetry_Int_Tables_number 1
loop_
_symmetry_equiv_pos_as_xyz
'x,y,z'
loop_
_atom_site_label
_atom_site_fract_x
_atom_site_fract_y
_atom_site_fract_z
Ho1 0.1279 0.0827 0.2500
Ho2 0.1279 0.4173 0.7500
Ho3 0.8721 0.5827 0.2500
Ho4 0.8721 0.9173 0.7500
Tm1 0.3786 0.5693 0.2500
Tm2 0.3786 0.9307 0.7500
Tm3 0.6214 0.0693 0.2500
Tm4 0.6214 0.4307 0.7500
N1 0.1272 0.0667 0.7500
N2 0.1272 0.4333 0.2500
N3 0.8728 0.5667 0.7500
N4 0.8728 0.9333 0.2500
O1 0.3708 0.5958 0.7500
O2 0.3708 0.9042 0.2500
O3 0.6292 0.0958 0.7500
O4 0.6292 0.4042 0.2500
```

Properties
Theoretical density in Mg/m³: 9.5

=====

It is C that is the least stable of them.